Record 1
The following is a DFT calculation (PBE-GGA) of a geometry-optimized Zn2Cd2AgAu2 structure.

Output
N(E_F) = 0.29 states/eV per atom
Space-group type = R-3m
Energy of formation = -10.48 kJ per mole of atoms

The structure in POSCAR format:
```
Zn2Cd2AgAu2
1.0
-3.026 -3.379 0.587
1.310 -4.355 -0.495
1.067 -2.861 6.861
Zn Cd Ag Au
2 2 1 2
direct
0.718 0.718 0.846
0.282 0.282 0.154
0.138 0.138 0.587
0.862 0.862 0.413
0.000 0.000 0.000
0.588 0.588 0.235
0.412 0.412 0.765
```



Record 2
The following is a DFT calculation (PBE-GGA) of a geometry-optimized NaSO2F structure.

Output
N(E_F) = 0.12 states/eV per atom
Raw formation energy = -4.9 eV per formula unit
Space-group type = P4/mmm

The structure in POSCAR format:
```
NaSO2F
1.0
3.565 0.000 0.000
0.000 3.565 0.000
0.000 0.000 4.669
Na S O F
1 1 2 1
direct
0.500 0.500 0.500
0.000 0.000 0.000
0.000 0.500 0.000
0.500 0.000 0.000
0.000 0.000 0.500
```



Record 3
The following is a DFT calculation (PBE-GGA) of a geometry-optimized RbYSi structure.

Output
N(E_F) = 0.65 states/eV per atom
Raw formation energy = -0.9 eV per formula unit
Space-group type = P-1
Polymorph energy (0 for the lowest one) = 0.00 eV/f.u.

The structure in POSCAR format:
```
RbYSi
1.0
-13.320 4.514 0.681
-0.580 -3.301 -2.631
-0.607 -2.305 3.026
Y Si Rb
2 2 2
direct
0.781 0.737 0.477
0.573 0.634 0.973
0.735 0.214 0.976
0.619 0.157 0.474
0.335 0.016 0.467
0.019 0.354 0.981
```



Record 4
The following is a DFT calculation (PBE-GGA) of a geometry-optimized Cd3SnPb12 structure.

Output
N(E_F) = 0.69 states/eV per atom
Space-group type = P4/mmm
Energy of formation = 7.67 kJ per mole of atoms

The structure in POSCAR format:
```
Cd3SnPb12
1.0
5.825 0.000 0.000
0.000 5.825 0.000
0.000 0.000 14.287
Cd Sn Pb
3 1 12
direct
0.000 0.000 0.255
0.000 0.000 0.500
0.000 0.000 0.745
0.000 0.000 0.000
0.500 0.500 0.000
0.500 0.500 0.247
0.500 0.500 0.500
0.500 0.500 0.753
0.500 0.000 0.122
0.500 0.000 0.373
0.500 0.000 0.627
0.500 0.000 0.878
0.000 0.500 0.122
0.000 0.500 0.373
0.000 0.500 0.627
0.000 0.500 0.878
```



Record 5
The following is a DFT calculation (PBE-GGA) of a geometry-optimized Tb3Al3Co2 structure.

Output
N(E_F) = 0.93 states/eV per atom
Space-group type = Pnma
Energy of formation = -38.99 kJ per mole of atoms

The structure in POSCAR format:
```
Tb3Al3Co2
1.0
-3.358 3.967 -2.525
-5.035 -5.243 -1.543
-6.747 2.624 13.096
Tb Al Co
12 12 8
direct
0.106 0.468 0.392
0.606 0.032 0.608
0.894 0.532 0.892
0.394 0.968 0.108
0.894 0.532 0.608
0.394 0.968 0.392
0.106 0.468 0.108
0.606 0.032 0.892
0.635 0.334 0.250
0.135 0.166 0.750
0.365 0.666 0.750
0.865 0.834 0.250
0.116 0.178 0.250
0.616 0.322 0.750
0.884 0.822 0.750
0.384 0.678 0.250
0.598 0.341 0.464
0.098 0.159 0.536
0.402 0.659 0.964
0.902 0.841 0.036
0.402 0.659 0.536
0.902 0.841 0.464
0.598 0.341 0.036
0.098 0.159 0.964
0.876 0.139 0.394
0.376 0.361 0.606
0.124 0.861 0.894
0.624 0.639 0.106
0.124 0.861 0.606
0.624 0.639 0.394
0.876 0.139 0.106
0.376 0.361 0.894
```



Record 6
The following is a DFT calculation (PBE-GGA) of a geometry-optimized LiHo3Th4Se8 structure.

Output
N(E_F) = 0.59 states/eV per atom
Raw formation energy = -25.8 eV per formula unit
Space-group type = R-3m

The structure in POSCAR format:
```
LiHo3Th4Se8
1.0
7.961 0.000 0.000
0.000 8.515 0.384
-3.980 -3.975 5.633
Li Ho Th Se
1 3 4 8
direct
0.000 0.500 0.000
0.500 0.500 0.000
0.500 0.500 0.500
0.000 0.500 0.500
0.500 0.000 0.000
0.500 0.000 0.500
0.000 0.000 0.000
0.000 0.000 0.500
0.238 0.726 0.988
0.238 0.726 0.475
0.256 0.268 0.512
0.751 0.726 0.988
0.249 0.274 0.012
0.744 0.732 0.488
0.762 0.274 0.525
0.762 0.274 0.012
```